[1]
## Na2Sc2PbO6 (GGA-PBE)

Data for an optimized crystal structure of Na2Sc2PbO6.

Values from the calculation:
Uncorrected energy (eV/atom): -6.699
Formation energy (no corrections) (kJ/mol of atoms): -219

a b c (Å): 5.5905 9.7696 5.9271
angles (deg): 90.00 108.13 90.00
Closest atoms and distances in Å follow each position.
Space group C2/m (No. 12)
Unique sites:
Na1 0.0000 0.1698 0.0000 (multiplicity 4)  6 O 2.45-2.55
Sc1 0.0000 0.3336 0.5000 (multiplicity 4)  6 O 2.11-2.18
Pb1 0.0000 0.0000 0.5000 (multiplicity 2)  6 O 2.17-2.26
O1 0.2328 0.1768 0.6983 (multiplicity 8)  2 Sc 2.11-2.17, 1 Pb 2.26
O2 0.2328 0.5000 0.6981 (multiplicity 4)  1 Pb 2.17, 2 Sc 2.18

---

[2]
## LaY2Tl (GGA-PBE)

Data for an optimized crystal structure of LaY2Tl.

Values from the calculation:
ΔE_f (meV/atom): -116
Uncorrected energy (eV/atom): -5.171
Energy relative to the lowest polymorph listed for this composition (meV/atom): 80

a b c (Å): 3.8408 5.5020 5.8802
angles (deg): 90.00 90.00 90.00
Closest atoms and distances in Å follow each position.
Space group Pmmm (No. 47)
Unique sites:
La1 0.0000 0.0000 0.0000 (multiplicity 1)  4 Y 3.35, 4 Tl 3.51
Y1 0.0000 0.5000 0.5000 (multiplicity 1)  4 Tl 3.35, 4 Y 3.51
Y2 0.5000 0.5000 0.0000 (multiplicity 1)  4 La 3.35, 4 Y 3.51
Tl1 0.5000 0.0000 0.5000 (multiplicity 1)  4 Y 3.35, 4 La 3.51

---

[3]
## RbErNiCl6 (GGA-PBE)

Data for an optimized crystal structure of RbErNiCl6.

Values from the calculation:
Uncorrected energy (eV/atom): -4.141
Formation energy (no corrections) (kJ/mol of atoms): -160

a b c (Å): 6.5856 6.5856 7.4100
angles (deg): 90.00 90.00 120.00
Closest atoms and distances in Å follow each position.
Space group P312 (No. 149)
Unique sites:
Rb1 0.0000 0.0000 0.0000 (multiplicity 1)  6 Cl 3.34
Er1 0.3333 0.6667 0.5000 (multiplicity 1)  6 Cl 2.63
Ni1 0.6667 0.3333 0.5000 (multiplicity 1)  6 Cl 2.44
Cl1 0.3822 0.0221 0.6941 (multiplicity 6)  1 Ni 2.44, 1 Er 2.63

---

[4]
## DySi2TcNi (GGA-PBE)

Data for an optimized crystal structure of DySi2TcNi.

Values from the calculation:
Uncorrected energy (eV/atom): -7.075
Formation energy (no corrections) (kJ/mol of atoms): -73

a b c (Å): 4.0304 4.0304 9.9465
angles (deg): 90.00 90.00 90.00
Closest atoms and distances in Å follow each position.
Space group I-4m2 (No. 119)
Unique sites:
Dy1 0.0000 0.0000 0.0000 (multiplicity 2)  8 Si 3.11, 4 Tc 3.20, 4 Ni 3.20
Si1 0.0000 0.0000 0.3754 (multiplicity 4)  2 Tc 2.37, 2 Ni 2.37, 1 Si 2.48
Tc1 0.0000 0.5000 0.2500 (multiplicity 2)  4 Si 2.37
Ni1 0.0000 0.5000 0.7500 (multiplicity 2)  4 Si 2.37

---

[5]
## KSbIr3 (GGA-PBE)

Data for an optimized crystal structure of KSbIr3.

Values from the calculation:
Uncorrected energy (eV/atom): -3.560
Energy relative to the lowest polymorph listed for this composition (meV/atom): 1513
Formation energy (no corrections) (kJ/mol of atoms): 270

a b c (Å): 4.7664 4.7664 4.7664
angles (deg): 90.00 90.00 90.00
Closest atoms and distances in Å follow each position.
Space group Pm-3m (No. 221)
Unique sites:
K1 0.0000 0.0000 0.0000 (multiplicity 1)  6 Ir 2.38
Sb1 0.5000 0.5000 0.5000 (multiplicity 1)  12 Ir 3.37
Ir1 0.0000 0.0000 0.5000 (multiplicity 3)  2 K 2.38

---

[6]
## LiGe (GGA-PBE)

Data for an optimized crystal structure of LiGe.

Values from the calculation:
ΔE_f (meV/atom): 732
Uncorrected energy (eV/atom): -2.534

a b c (Å): 7.0725 7.0725 7.0725
angles (deg): 90.00 90.00 90.00
Closest atoms and distances in Å follow each position.
Space group Pm-3n (No. 223)
Unique sites:
Li1 0.0000 0.2500 0.5000 (multiplicity 6)  4 Ge 2.50
Ge1 0.0000 0.5000 0.2500 (multiplicity 6)  4 Li 2.50